La2ErPu PBE-GGA optimized geometry; excess energy over the best structure of this formula in the dataset = 82 meV/atom
1.0
-2.3477 1.8543 4.8779
-5.6277 -0.5704 0.8647
-1.9359 -3.7605 3.8542
Er La Pu
1 2 1
direct
0.5000 0.5000 0.5000
0.2500 0.2500 0.2500
0.7500 0.7500 0.7500
0.0000 0.0000 0.0000